[1]
Entry from Alexandria: Li3Mg2Hg8 after structural relaxation (PBE).

Values from the calculation:
For the total DFT energy (no corrections), the calculation gives -1.071 eV per atom. For the density of states at the Fermi level, the calculation gives 0.22 states/eV/atom. The value obtained for the formation enthalpy at 0 K is -0.198 eV per atom. The crystal system is monoclinic.

Unit cell a=8.0612 b=4.7716 c=8.1421 alpha=90.00 beta=107.53 gamma=90.00
With the nearest neighbours (Å) after each atom.
Space group P2/m (No. 10)
One atom of each set of equivalent atoms:
Li (0.0000, 0.0000, 0.0000) [1 per cell]  8 Hg 2.90-2.94
Li (0.2472, 0.5000, 0.2459) [2 per cell]  8 Hg 2.87-2.88
Mg (0.2491, 0.0000, 0.7482) [2 per cell]  8 Hg 2.87-2.98
Hg (0.1274, 0.5000, 0.8747) [2 per cell]  4 Li 2.88-2.90, 2 Mg 2.89
Hg (0.1355, 0.0000, 0.3775) [2 per cell]  3 Li 2.87-2.94, 2 Mg 2.88-2.96, 1 Hg 3.19
Hg (0.3778, 0.0000, 0.1323) [2 per cell]  2 Mg 2.87-2.98, 3 Li 2.87-2.91, 1 Hg 3.19
Hg (0.3789, 0.5000, 0.6161) [2 per cell]  2 Li 2.88, 2 Mg 2.94, 1 Hg 3.10

[2]
Entry from Alexandria: BiTe2Pb2 after structural relaxation (PBE).

Values from the calculation:
For the total DFT energy (no corrections), the calculation gives -3.370 eV per atom. Its formation energy (no corrections) is 147 meV/atom. For the density of states at the Fermi level, the calculation gives 0.75 states/eV/atom. The crystal system is tetragonal. The distance to the lowest polymorph of the same formula comes out at 208 meV per atom.

Unit cell a=4.3561 b=4.3561 c=17.6569 alpha=90.00 beta=90.00 gamma=90.00
With the nearest neighbours (Å) after each atom.
Space group I4/mmm (No. 139)
One atom of each set of equivalent atoms:
Bi (0.0000, 0.0000, 0.0000) [2 per cell]  8 Te 3.52
Te (0.0000, 0.0000, 0.4032) [4 per cell]  1 Te 3.42, 4 Pb 3.47, 4 Bi 3.52
Pb (0.0000, 0.5000, 0.2500) [4 per cell]  4 Pb 3.08

[3]
Entry from Alexandria: LiScAl2Au2 after structural relaxation (PBE).

Values from the calculation:
For the total DFT energy (no corrections), the calculation gives -4.348 eV per atom. For the density of states at the Fermi level, the calculation gives 0.55 states/eV/atom. The value obtained for the formation enthalpy at 0 K is -0.633 eV per atom. The crystal system is trigonal.

Unit cell a=4.4430 b=4.4430 c=6.0906 alpha=90.00 beta=90.00 gamma=120.00
With the nearest neighbours (Å) after each atom.
Space group P-3m1 (No. 164)
One atom of each set of equivalent atoms:
Li (0.0000, 0.0000, 0.0000) [1 per cell]  6 Al 2.85, 6 Au 2.97, 2 Sc 3.05
Sc (0.0000, 0.0000, 0.5000) [1 per cell]  6 Au 2.99, 2 Li 3.05, 6 Al 3.14
Al (0.3333, 0.6667, 0.7962) [2 per cell]  4 Au 2.58-2.75, 3 Li 2.85
Au (0.3333, 0.6667, 0.2471) [2 per cell]  4 Al 2.58-2.75

[4]
Entry from Alexandria: BHPb after structural relaxation (PBE).

Values from the calculation:
For the total DFT energy (no corrections), the calculation gives -4.250 eV per atom. For the density of states at the Fermi level, the calculation gives 0.33 states/eV/atom. The crystal system is triclinic. The distance to the lowest polymorph of the same formula comes out at 115 meV per atom.

Unit cell a=3.1646 b=6.0247 c=6.0274 alpha=117.15 beta=99.83 gamma=97.56
With the nearest neighbours (Å) after each atom.
Space group P1 (No. 1)
One atom of each set of equivalent atoms:
B (0.0000, 0.0000, 0.0000) [1 per cell]  1 H 1.35
B (0.4947, 0.0704, 0.9433) [1 per cell]  2 H 1.23-1.35
H (0.5110, 0.1982, 0.8321) [1 per cell]  1 B 1.23
H (0.6363, 0.8595, 0.8032) [1 per cell]  2 B 1.35
Pb (0.0412, 0.7200, 0.2072) [1 per cell]  1 B 2.52
Pb (0.9060, 0.3307, 0.4448) [1 per cell]  2 B 2.61-2.66

[5]
Entry from Alexandria: LiCuSb2 after structural relaxation (PBE).

Values from the calculation:
For the total DFT energy (no corrections), the calculation gives -3.558 eV per atom. Its formation energy (no corrections) is 5 meV/atom. For the density of states at the Fermi level, the calculation gives 0.30 states/eV/atom. The crystal system is tetragonal. The distance to the lowest polymorph of the same formula comes out at 117 meV per atom.

Unit cell a=3.8301 b=3.8301 c=5.5627 alpha=90.00 beta=90.00 gamma=90.00
With the nearest neighbours (Å) after each atom.
Space group P4mm (No. 99)
One atom of each set of equivalent atoms:
Li (0.0000, 0.0000, 0.0000) [1 per cell]  6 Sb 2.70-2.88
Cu (0.5000, 0.5000, 0.6723) [1 per cell]  6 Sb 2.77-2.85
Sb (0.0000, 0.0000, 0.5144) [1 per cell]  2 Li 2.70-2.86, 4 Cu 2.85
Sb (0.5000, 0.5000, 0.1735) [1 per cell]  2 Cu 2.77-2.79, 4 Li 2.88

[6]
Entry from Alexandria: YNbPS2 after structural relaxation (PBE).

Values from the calculation:
For the total DFT energy (no corrections), the calculation gives -5.639 eV per atom. Its formation energy (no corrections) is 401 meV/atom. For the density of states at the Fermi level, the calculation gives 1.15 states/eV/atom. The crystal system is tetragonal. The distance to the lowest polymorph of the same formula comes out at 1116 meV per atom.

Unit cell a=5.0772 b=5.0772 c=5.2018 alpha=90.00 beta=90.00 gamma=90.00
With the nearest neighbours (Å) after each atom.
Space group P4/mmm (No. 123)
One atom of each set of equivalent atoms:
Y (0.0000, 0.0000, 0.0000) [1 per cell]  4 S 2.54, 2 P 2.60
Nb (0.5000, 0.5000, 0.5000) [1 per cell]  4 P 3.59, 8 S 3.63
P (0.0000, 0.0000, 0.5000) [1 per cell]  2 Y 2.60
S (0.0000, 0.5000, 0.0000) [2 per cell]  2 Y 2.54

> Which of these has the highest total DFT energy (no corrections)?

Li3Mg2Hg8

> Which of these has the highest total DFT energy (no corrections)?

Li3Mg2Hg8

> What is the formula in the first record?

Li3Mg2Hg8